A relaxed Ge4Te5Pb crystal, computed with PBE-GGA.

```
Ge4Te5Pb
1.0
-4.010 -1.460 0.657
0.490 -5.382 5.215
-2.557 4.358 8.267
Ge Te Pb
4 5 1
direct
0.201 0.392 0.206
0.799 0.608 0.794
0.598 0.204 0.600
0.402 0.796 0.400
0.389 0.330 0.892
0.795 0.095 0.315
0.000 0.500 0.500
0.611 0.670 0.108
0.205 0.905 0.685
0.000 0.000 0.000
```

Output
Magnetization ... 0.0 μB per cell
E ... -39.11 eV per cell
Crystal system ... monoclinic
Formation energy (no corrections) ... -0.123 eV/atom
Symmetry ... C2/m, No. 12

=====

A relaxed GeTePb crystal, computed with PBE-GGA.

```
GeTePb
1.0
-0.632 -1.926 -3.730
-2.644 -0.721 3.237
-4.938 11.050 -4.868
Pb Te Ge
2 2 2
direct
0.906 0.813 0.265
0.094 0.187 0.735
0.815 0.631 0.874
0.185 0.369 0.126
0.322 0.644 0.472
0.678 0.356 0.528
```

Output
Magnetization ... 0.0 μB per cell
E ... -22.97 eV per cell
Crystal system ... monoclinic
DOS(E_F) ... 0.2568 states/eV/atom
Formation energy (no corrections) ... -0.006 eV/atom
Symmetry ... C2/m, No. 12

=====

A relaxed GeTe2Pb crystal, computed with PBE-GGA.

```
GeTe2Pb
1.0
4.425 0.014 0.014
2.201 3.839 0.014
2.183 1.269 7.330
Te Ge Pb
2 1 1
direct
0.741 0.741 0.777
0.259 0.259 0.223
0.000 0.000 0.000
0.500 0.500 0.500
```

Output
Offset from the most stable computed form ... 0.0000 eV/atom
Magnetization ... 0.0 μB per cell
E ... -15.50 eV per cell
Crystal system ... trigonal
Formation energy (no corrections) ... -0.223 eV/atom
Symmetry ... R-3m, No. 166

=====

A relaxed Ge3Te4Pb crystal, computed with PBE-GGA.

```
Ge3Te4Pb
1.0
-0.857 5.135 -3.323
-2.396 -3.370 -4.588
-3.980 -0.233 6.404
Ge Te Pb
3 4 1
direct
0.750 0.250 0.500
0.250 0.750 0.500
0.500 0.500 0.000
0.740 0.740 0.480
0.000 0.500 0.000
0.260 0.260 0.520
0.500 0.000 0.000
0.000 0.000 0.000
```

Output
Magnetization ... 0.0 μB per cell
E ... -31.02 eV per cell
Crystal system ... tetragonal
Formation energy (no corrections) ... -0.112 eV/atom
Symmetry ... I4/mmm, No. 139

=====

A relaxed Ge2Te2Pb crystal, computed with PBE-GGA.

```
Ge2Te2Pb
1.0
-0.172 7.103 -4.221
1.537 -4.120 -6.997
-3.920 -0.450 -0.597
Te Ge Pb
4 4 2
direct
0.307 0.193 0.500
0.193 0.693 0.500
0.693 0.807 0.500
0.807 0.307 0.500
0.368 0.868 0.000
0.868 0.632 0.000
0.632 0.132 0.000
0.132 0.368 0.000
0.500 0.500 0.000
0.000 0.000 0.000
```

Output
Offset from the most stable computed form ... 0.0334 eV/atom
Magnetization ... 0.0 μB per cell
E ... -37.53 eV per cell
Crystal system ... tetragonal
DOS(E_F) ... 0.5990 states/eV/atom
Formation energy (no corrections) ... 0.092 eV/atom
Symmetry ... P4/mbm, No. 127

=====

A relaxed Ge2TePb crystal, computed with PBE-GGA.

```
Ge2TePb
1.0
0.397 0.584 5.151
-2.607 3.809 2.393
-4.041 -1.144 3.065
Ge Pb Te
2 1 1
direct
0.750 0.750 0.750
0.250 0.250 0.250
0.500 0.500 0.500
0.000 0.000 0.000
```

Output
Offset from the most stable computed form ... 0.0000 eV/atom
Magnetization ... 0.0 μB per cell
E ... -14.89 eV per cell
Crystal system ... cubic
DOS(E_F) ... 0.7311 states/eV/atom
Formation energy (no corrections) ... 0.299 eV/atom
Symmetry ... Fm-3m, No. 225